[1]
VASP calculation (PBE) on a relaxed PuTi2In3 crystal.

It has space group P4/mmm (No. 123), with a = 3.0490 Å, b = 3.0490 Å, c = 13.5691 Å, α = 90.00°, β = 90.00° and γ = 90.00°. The inequivalent atoms are Pu at (0.0000, 0.0000, 0.0000), Ti at (0.0000, 0.0000, 0.3462), In at (0.5000, 0.5000, 0.1901) and In at (0.5000, 0.5000, 0.5000).

The formation energy comes out at -0.144 eV per atom. As for the volume: 126 Å³/cell.

=====

[2]
VASP calculation (PBE) on a relaxed CaAl2 crystal.

It has space group I4/mmm (No. 139), with a = 3.4412 Å, b = 3.4412 Å, c = 11.4278 Å, α = 90.00°, β = 90.00° and γ = 90.00°. The inequivalent atoms are Ca at (0.0000, 0.0000, 0.0000) and Al at (0.0000, 0.0000, 0.3082).

The formation energy comes out at -0.121 eV per atom. As for the volume: 135 Å³/cell.

=====

[3]
VASP calculation (PBE) on a relaxed Sr3Sn4Hg4 crystal.

It has space group Immm (No. 71), with a = 4.7077 Å, b = 4.9863 Å, c = 28.8094 Å, α = 90.00°, β = 90.00° and γ = 90.00°. The inequivalent atoms are Sr at (0.0000, 0.0000, 0.0000), Sr at (0.0000, 0.5000, 0.1494), Sn at (0.0000, 0.0000, 0.4507), Sn at (0.0000, 0.5000, 0.3087), Hg at (0.0000, 0.0000, 0.2536) and Hg at (0.0000, 0.5000, 0.4059).

The formation energy comes out at -0.405 eV per atom. As for the volume: 676 Å³/cell.

=====

[4]
VASP calculation (PBE) on a relaxed K2Pd3Pb2 crystal.

It has space group C2/m (No. 12), with a = 12.3855 Å, b = 4.5596 Å, c = 7.7283 Å, α = 90.00°, β = 124.74° and γ = 90.00°. The inequivalent atoms are K at (0.1633, 0.0000, 0.2939), Pd at (0.0000, 0.5000, 0.5000), Pd at (0.0796, 0.5000, 0.9221) and Pb at (0.1409, 0.0000, 0.7740).

The formation energy comes out at -0.161 eV per atom. As for the volume: 359 Å³/cell.

=====

[5]
VASP calculation (PBE) on a relaxed YEr3 crystal.

It has space group Imm2 (No. 44), with a = 3.6029 Å, b = 11.1744 Å, c = 6.2334 Å, α = 90.00°, β = 90.00° and γ = 90.00°. The inequivalent atoms are Y at (0.0000, 0.0000, 0.0000), Er at (0.0000, 0.2489, 0.6667) and Er at (0.0000, 0.5000, 0.9987).

The formation energy comes out at 0.000 eV per atom. As for the volume: 251 Å³/cell.

=====

[6]
VASP calculation (PBE) on a relaxed Zr2CoHg crystal.

It has space group I-42d (No. 122), with a = 7.5195 Å, b = 7.5195 Å, c = 5.6530 Å, α = 90.00°, β = 90.00° and γ = 90.00°. The inequivalent atoms are Zr at (0.1959, 0.2500, 0.1250), Co at (0.0000, 0.0000, 0.0000) and Hg at (0.0000, 0.0000, 0.5000).

The formation energy comes out at 0.114 eV per atom. As for the volume: 320 Å³/cell.

=====

[7]
VASP calculation (PBE) on a relaxed SrAgPdCl6 crystal.

It has space group P-31c (No. 163), with a = 6.7779 Å, b = 6.7779 Å, c = 11.6835 Å, α = 90.00°, β = 90.00° and γ = 120.00°. The inequivalent atoms are Sr at (0.3333, 0.6667, 0.2500), Ag at (0.0000, 0.0000, 0.0000), Pd at (0.3333, 0.6667, 0.7500) and Cl at (0.0521, 0.3633, 0.6250).

As for the volume: 465 Å³/cell. The value obtained for the formation energy without anion corrections is -1051 meV/atom.

=====

Number 1: M_tot 5.45 μB/cell. Number 2: M_tot 0.00 μB/cell. Number 3: M_tot 0.00 μB/cell. Number 4: M_tot 0.00 μB/cell. Number 5: M_tot 0.00 μB/cell. Number 6: M_tot 0.00 μB/cell. Number 7: M_tot 1.75 μB/cell.